(1)
Below is a relaxed LaErSb crystal, with properties calculated at the GGA-PBE level.

a = 6.2538 Å, b = 6.2538 Å, c = 6.2538 Å
α = 142.26°, β = 142.26°, γ = 54.43°
Fractional positions:
La 0.0000 0.0000 0.0000
Er 0.2963 0.2963 0.0000
Sb 0.6720 0.6720 0.0000

Calculated values
Formation energy from raw total energies: -0.648 eV/atom
SG: No. 107
Spin magnetization: 0.862 μB/f.u.

=====

(2)
Below is a relaxed La2Er2Sb5 crystal, with properties calculated at the GGA-PBE level.

a = 9.0803 Å, b = 9.0803 Å, c = 8.2623 Å
α = 90.00°, β = 90.00°, γ = 53.52°
Fractional positions:
La 0.1913 0.1913 0.0000
La 0.3087 0.3087 0.5000
La 0.6913 0.6913 0.5000
La 0.8087 0.8087 0.0000
Er 0.1564 0.8436 0.6589
Er 0.3436 0.6564 0.1589
Er 0.6564 0.3436 0.8411
Er 0.8436 0.1564 0.3411
Sb 0.0000 0.0000 0.0000
Sb 0.0090 0.7276 0.3592
Sb 0.2276 0.5090 0.8592
Sb 0.2724 0.9910 0.3592
Sb 0.4910 0.7724 0.8592
Sb 0.5000 0.5000 0.5000
Sb 0.5090 0.2276 0.1408
Sb 0.7276 0.0090 0.6408
Sb 0.7724 0.4910 0.1408
Sb 0.9910 0.2724 0.6408

Calculated values
Formation energy from raw total energies: -0.914 eV/atom
SG: No. 64
Spin magnetization: 0.000 μB/f.u.

=====

(3)
Below is a relaxed LaErSb crystal, with properties calculated at the GGA-PBE level.

a = 5.1335 Å, b = 5.1335 Å, c = 4.1676 Å
α = 90.00°, β = 90.00°, γ = 120.00°
Fractional positions:
La 0.0000 0.0000 0.0000
Er 0.3333 0.6667 0.5137
Sb 0.6667 0.3333 0.4208

Calculated values
Formation energy from raw total energies: -0.514 eV/atom
SG: No. 156
Spin magnetization: 0.001 μB/f.u.

=====

(4)
Below is a relaxed La3ErSb4 crystal, with properties calculated at the GGA-PBE level.

a = 7.8939 Å, b = 7.8939 Å, c = 4.5657 Å
α = 90.00°, β = 90.00°, γ = 109.49°
Fractional positions:
La 0.0000 0.0000 0.0000
La 0.0000 0.5000 0.5000
La 0.5000 0.0000 0.5000
Er 0.5000 0.5000 0.0000
Sb 0.2553 0.7447 0.0000
Sb 0.2604 0.2604 0.5000
Sb 0.7396 0.7396 0.5000
Sb 0.7447 0.2553 0.0000

Calculated values
Formation energy from raw total energies: -1.218 eV/atom
SG: No. 65
Spin magnetization: 0.000 μB/f.u.